## NdZrTl (PBE-GGA)

Data for a relaxed structure of NdZrTl.

Cell lengths 3.518, 3.518, 7.124 Å; angles 104.30, 104.30, 90.00 degrees
Atoms (fractional coordinates):
Tl1 0.677 0.677 0.354
Nd1 0.000 0.000 0.001
Zr1 0.323 0.323 0.646

Values from the calculation:
DFT formation energy   -0.032 eV/atom
D(E_F)   3.6 states/eV/f.u.
Uncorrected energy   -5.259 eV/atom
Magnetic moment   0.000 μB/atom